DFT (GGA+U) results for a geometry-optimized YMnZnO4 structure.

- Energy: -194.945 eV per cell
- Calculated volume: 351 Å³/cell
- Crystal system: orthorhombic

Unit cell a=6.1357 b=6.5176 c=8.7679 alpha=90.00 beta=90.00 gamma=90.00
With the nearest neighbours (Å) after each atom.
Space group Imma (No. 74)
One atom of each set of equivalent atoms:
1 Y 0.0000 0.0000 0.0000 x4  6 O 2.23-2.26
2 Mn 0.2500 0.2500 0.2500 x4  6 O 2.01-2.08
3 Zn 0.0000 0.2500 0.6167 x4  4 O 1.98-2.16
4 O 0.0000 0.0343 0.2566 x8  2 Mn 2.08, 1 Zn 2.16, 1 Y 2.26
5 O 0.2453 0.2500 0.0211 x8  1 Zn 1.98, 1 Mn 2.01

***

DFT (GGA+U) results for a geometry-optimized Mn3ZnO structure.

- Energy: -29.795 eV per cell
- Calculated volume: 79 Å³/cell
- Crystal system: cubic

Unit cell a=4.2900 b=4.2900 c=4.2900 alpha=90.00 beta=90.00 gamma=90.00
With the nearest neighbours (Å) after each atom.
Space group Pm-3m (No. 221)
One atom of each set of equivalent atoms:
1 Mn 0.0000 0.0000 0.5000 x3  2 O 2.15
2 Zn 0.5000 0.5000 0.5000 x1  12 Mn 3.03
3 O 0.0000 0.0000 0.0000 x1  6 Mn 2.15

***

DFT (GGA+U) results for a geometry-optimized Mn3Zn2O8 structure.

- Energy: -165.163 eV per cell
- Calculated volume: 280 Å³/cell
- Crystal system: hexagonal
- Excess energy over the best structure of this formula in the dataset: 0.5 kJ/mol of atoms

Unit cell a=5.8723 b=5.8723 c=9.3604 alpha=90.00 beta=90.00 gamma=120.00
With the nearest neighbours (Å) after each atom.
Space group P6_3mc (No. 186)
One atom of each set of equivalent atoms:
1 Mn 0.1640 0.3279 0.0000 x6  6 O 1.90-2.00
2 Zn 0.3333 0.6667 0.2889 x2  6 O 2.05-2.19
3 Zn 0.3333 0.6667 0.6716 x2  4 O 1.95-2.06
4 O 0.0000 0.0000 0.1052 x2  3 Mn 1.94
5 O 0.0369 0.5184 0.1191 x6  1 Zn 1.95, 2 Mn 1.97
6 O 0.1582 0.3164 0.3974 x6  2 Mn 1.90, 1 Zn 2.05
7 O 0.3333 0.6667 0.8918 x2  3 Mn 2.00, 1 Zn 2.06

***

DFT (GGA+U) results for a geometry-optimized MnZn2O structure.

- Energy: -65.614 eV per cell
- Calculated volume: 231 Å³/cell
- Crystal system: tetragonal

Unit cell a=7.1348 b=7.1348 c=4.5302 alpha=90.00 beta=90.00 gamma=90.00
With the nearest neighbours (Å) after each atom.
Space group I-42d (No. 122)
One atom of each set of equivalent atoms:
1 Mn 0.0000 0.0000 0.0000 x4  2 O 2.27
2 Zn 0.1782 0.7500 0.6250 x8  2 O 2.26, 2 Zn 2.49
3 O 0.0000 0.0000 0.5000 x4  4 Zn 2.26, 2 Mn 2.27

***

DFT (GGA+U) results for a geometry-optimized MnZn3O4 structure.

- Energy: -85.726 eV per cell
- Calculated volume: 205 Å³/cell
- Crystal system: tetragonal
- Excess energy over the best structure of this formula in the dataset: 0.9 kJ/mol of atoms

Unit cell a=4.6862 b=4.6862 c=9.3308 alpha=90.00 beta=90.00 gamma=90.00
With the nearest neighbours (Å) after each atom.
Space group I-42m (No. 121)
One atom of each set of equivalent atoms:
1 Mn 0.0000 0.0000 0.0000 x2  4 O 2.08
2 Zn 0.0000 0.0000 0.5000 x2  4 O 2.00
3 Zn 0.0000 0.5000 0.2500 x4  4 O 2.01
4 O 0.2426 0.2426 0.3718 x8  3 Zn 2.00-2.01, 1 Mn 2.08

***

DFT (GGA+U) results for a geometry-optimized Mn3Zn2O8 structure.

- Energy: -165.303 eV per cell
- Calculated volume: 281 Å³/cell
- Crystal system: monoclinic
- Excess energy over the best structure of this formula in the dataset: 0.0 kJ/mol of atoms

Unit cell a=9.8577 b=5.7940 c=5.0247 alpha=90.00 beta=101.77 gamma=90.00
With the nearest neighbours (Å) after each atom.
Space group C2/m (No. 12)
One atom of each set of equivalent atoms:
1 Mn 0.0000 0.0000 0.0000 x2  6 O 1.91-1.95
2 Mn 0.0000 0.2546 0.5000 x4  6 O 1.89-1.96
3 Zn 0.2057 0.5000 0.0980 x4  5 O 1.97-2.17
4 O 0.1001 0.0000 0.3687 x4  3 Mn 1.91-1.96
5 O 0.1063 0.5000 0.4012 x4  2 Mn 1.89, 1 Zn 1.97
6 O 0.1159 0.2262 0.8654 x8  2 Mn 1.95-1.96, 2 Zn 2.06-2.17

***

DFT (GGA+U) results for a geometry-optimized Mn3Zn2O6 structure.

- Energy: -132.696 eV per cell
- Calculated volume: 261 Å³/cell
- Crystal system: tetragonal

Unit cell a=3.6774 b=3.6774 c=19.2864 alpha=90.00 beta=90.00 gamma=90.00
With the nearest neighbours (Å) after each atom.
Space group I4/mmm (No. 139)
One atom of each set of equivalent atoms:
1 Mn 0.0000 0.0000 0.0000 x2  8 O 2.25
2 Mn 0.0000 0.0000 0.1924 x4  1 O 2.02
3 Zn 0.0000 0.0000 0.4010 x4  5 O 1.94-2.01
4 O 0.0000 0.0000 0.2969 x4  1 Zn 2.01, 1 Mn 2.02
5 O 0.0000 0.5000 0.0671 x8  2 Zn 1.94

***

DFT (GGA+U) results for a geometry-optimized Mn2Zn2O5 structure.

- Energy: -107.427 eV per cell
- Calculated volume: 212 Å³/cell
- Crystal system: orthorhombic
- Excess energy over the best structure of this formula in the dataset: 0.0 kJ/mol of atoms

Unit cell a=5.6252 b=10.2361 c=3.6806 alpha=90.00 beta=90.00 gamma=90.00
With the nearest neighbours (Å) after each atom.
Space group Pbam (No. 55)
One atom of each set of equivalent atoms:
1 Mn 0.2473 0.1280 0.0000 x4  5 O 1.90-2.09
2 Zn 0.2006 0.8933 0.5000 x4  4 O 2.04-2.20
3 O 0.0000 0.5000 0.0000 x2  2 Mn 1.93
4 O 0.1111 0.8171 0.0000 x4  2 Zn 2.06, 2 Mn 2.09
5 O 0.1893 0.0926 0.5000 x4  2 Mn 1.90, 1 Zn 2.04